{"formula": "HoHfThN3", "functional": "PBE-GGA", "state": "relaxed", "density_g_cm3": 9.8, "e_form_raw_ev_per_atom": -1.3364, "magnetic_moment_mub_per_fu": 0.5, "cell": [[3.334, 0.000, 0.000], [0.000, 6.370, 0.790], [0.000, -1.934, 9.637]], "species": ["Ho", "Th", "N", "Hf", "N", "Th", "Ho", "Hf", "N", "N", "N", "N"], "fractional_positions": [[0.250, 0.668, 0.112], [0.750, 0.809, 0.760], [0.250, 0.612, 0.879], [0.750, 0.828, 0.417], [0.750, 0.896, 0.201], [0.250, 0.191, 0.240], [0.750, 0.332, 0.888], [0.250, 0.172, 0.583], [0.250, 0.826, 0.556], [0.750, 0.174, 0.444], [0.250, 0.104, 0.799], [0.750, 0.388, 0.121]]}